NaCr2SnF6 PBE with a Hubbard U optimized geometry; V = 15.05 A^3/atom; symmetry = P1; total energy = -54.02 eV/cell
1.0
6.240 0.645 -0.512
3.694 6.004 -0.347
2.940 2.174 4.035
Na Cr Sn F
1 2 1 6
direct
0.736 0.812 0.726 Na
0.489 0.524 0.482 Cr
0.044 0.995 0.936 Cr
0.254 0.285 0.250 Sn
0.713 0.160 0.229 F
0.293 0.896 0.164 F
0.814 0.614 0.220 F
0.393 0.737 0.758 F
0.763 0.139 0.713 F
0.161 0.500 0.537 F